No. 1
La7Ho: relaxed, PBE.

Properties
Spin magnetization: 0.0 μB per formula unit
Energy of formation: 7 kJ/mol of formula units
Space group: Fm-3m, No. 225

Geometry as extended XYZ:
```
8
Lattice="-2.758 -5.014 4.717 4.527 -3.629 4.619 -0.179 1.453 7.270" Properties=species:S:1:pos:R:3 pbc="T T T"
La -1.468 -1.781 5.994
La -0.089 0.727 3.635
La 2.174 -1.088 5.945
La -1.379 -2.507 2.359
La 2.263 -1.815 2.310
La 0.884 -4.322 4.668
La 0.795 -3.595 8.303
Ho 0.000 0.000 0.000
```


No. 2
LaHo2: relaxed, PBE.

Properties
Spin magnetization: 0.0 μB per formula unit
Energy of formation: 9 kJ/mol of formula units
Space group: I4/mmm, No. 139

Geometry as extended XYZ:
```
3
Lattice="3.613 0.000 0.000 0.000 3.613 0.000 -1.807 -1.807 7.603" Properties=species:S:1:pos:R:3 pbc="T T T"
Ho 1.807 1.807 2.586
La 0.000 0.000 0.000
Ho 0.000 0.000 5.017
```


Listing DOS at the Fermi energy for the structures above in their given order: 1.804; 1.429 states/eV per atom.